The following is a DFT calculation (PBE-GGA) of a relaxed structure of HfTi2BiH.

Total energy, eV/atom: -6.79

```
HfTi2BiH
1.0
-1.231 -1.969 -3.690
3.803 1.075 -1.842
1.687 -3.622 1.370
Ti H Hf Bi
2 1 1 1
Direct
0.500 0.000 0.000 Ti
0.000 0.500 0.000 Ti
0.000 0.000 0.000 H
0.000 0.000 0.500 Hf
0.500 0.500 0.500 Bi
```

***

The following is a DFT calculation (PBE-GGA) of a relaxed structure of Dy2In4Ga.

Formation enthalpy at 0 K, eV/atom: -0.325

```
Dy2In4Ga
1.0
5.404 0.009 -3.095
-1.804 5.094 -3.095
0.106 0.150 6.445
Ga In Dy
1 4 2
Direct
0.786 0.786 0.572 Ga
0.286 0.286 0.071 In
0.786 0.286 0.071 In
0.286 0.786 0.071 In
0.786 0.786 0.072 In
0.286 0.786 0.571 Dy
0.786 0.286 0.571 Dy
```

***

The following is a DFT calculation (PBE-GGA) of a relaxed structure of Y3P.

Formation enthalpy at 0 K, eV/atom: -0.610
Polymorph energy (0 for the lowest one), eV per atom: 0.0959

```
Y3P
1.0
1.916 -3.319 0.000
1.916 3.319 0.000
0.000 0.000 9.223
Y P
3 1
Direct
0.000 0.000 0.500 Y
0.667 0.333 0.813 Y
0.667 0.333 0.187 Y
0.000 0.000 0.000 P
```

***

The following is a DFT calculation (PBE-GGA) of a relaxed structure of NaTlHPb2.

Polymorph energy (0 for the lowest one), eV per atom: 0.0616

```
NaTlHPb2
1.0
-3.036 -3.140 -2.242
0.648 -3.227 3.643
-4.025 2.071 2.550
Pb H Tl Na
2 1 1 1
Direct
0.000 0.500 0.000 Pb
0.500 0.000 0.000 Pb
0.000 0.000 0.000 H
0.000 0.000 0.500 Tl
0.500 0.500 0.500 Na
```

***

The following is a DFT calculation (PBE-GGA) of a relaxed structure of TbTmMg.

Formation enthalpy at 0 K, eV/atom: -0.034
Polymorph energy (0 for the lowest one), eV per atom: 0.0168

```
TbTmMg
1.0
-0.607 3.018 1.880
-0.235 -1.937 3.034
6.879 0.165 -1.506
Mg Tb Tm
1 1 1
Direct
0.668 0.668 0.337 Mg
0.005 0.005 0.010 Tb
0.327 0.327 0.653 Tm
```

***

The following is a DFT calculation (PBE-GGA) of a relaxed structure of TbAsPd.

Formation enthalpy at 0 K, eV/atom: -1.193

```
TbAsPd
1.0
4.150 0.000 0.000
0.000 7.041 0.038
0.000 0.043 12.065
Tb Pd As
6 6 6
Direct
0.750 0.669 0.078 Tb
0.250 0.331 0.922 Tb
0.250 0.966 0.706 Tb
0.250 0.469 0.624 Tb
0.750 0.034 0.294 Tb
0.750 0.531 0.376 Tb
0.750 0.002 0.909 Pd
0.750 0.145 0.542 Pd
0.250 0.373 0.207 Pd
0.250 0.998 0.091 Pd
0.750 0.627 0.793 Pd
0.250 0.855 0.458 Pd
0.750 0.259 0.751 As
0.250 0.749 0.912 As
0.250 0.741 0.249 As
0.750 0.753 0.581 As
0.250 0.247 0.419 As
0.750 0.251 0.088 As
```

***

The following is a DFT calculation (PBE-GGA) of a relaxed structure of TaV4Re.

Formation enthalpy at 0 K, eV/atom: -0.141
Polymorph energy (0 for the lowest one), eV per atom: 0.0000

```
TaV4Re
1.0
-0.327 -2.622 4.199
3.029 -3.856 0.759
3.599 0.305 3.401
V Ta Re
4 1 1
Direct
0.126 0.625 0.625 V
0.625 0.625 0.625 V
0.625 0.625 0.126 V
0.625 0.126 0.625 V
0.000 0.000 0.000 Ta
0.250 0.250 0.250 Re
```

***

The following is a DFT calculation (PBE-GGA) of a relaxed structure of LiTeOs3.

Polymorph energy (0 for the lowest one), eV per atom: 0.0000

```
LiTeOs3
1.0
-1.917 -2.578 -2.752
3.523 -2.325 -0.276
-1.345 -2.417 3.200
Li Te Os
1 1 3
Direct
0.000 0.000 0.000 Li
0.500 0.500 0.500 Te
0.000 0.500 0.000 Os
0.500 0.000 0.000 Os
0.000 0.000 0.500 Os
```

***

The following is a DFT calculation (PBE-GGA) of a relaxed structure of Ca3CuBr.

Polymorph energy (0 for the lowest one), eV per atom: 0.0000

```
Ca3CuBr
1.0
5.606 0.000 0.000
0.000 5.606 0.000
0.000 0.000 5.606
Ca Cu Br
3 1 1
Direct
0.000 0.500 0.000 Ca
0.000 0.000 0.500 Ca
0.500 0.000 0.000 Ca
0.000 0.000 0.000 Cu
0.500 0.500 0.500 Br
```

***

The following is a DFT calculation (PBE-GGA) of a relaxed structure of K2Tl2AgPt.

Formation enthalpy at 0 K, eV/atom: -0.118

```
K2Tl2AgPt
1.0
-5.291 -4.667 -0.172
2.176 -2.231 -6.391
6.031 -1.744 6.617
Tl Ag Pt K
4 2 2 4
Direct
0.362 0.593 0.186 Tl
0.176 0.907 0.814 Tl
0.824 0.093 0.186 Tl
0.638 0.407 0.814 Tl
0.000 0.750 0.000 Ag
0.000 0.250 0.000 Ag
0.500 0.750 0.000 Pt
0.500 0.250 0.000 Pt
0.594 0.840 0.681 K
0.406 0.160 0.319 K
0.913 0.660 0.319 K
0.087 0.340 0.681 K
```

***

The following is a DFT calculation (PBE-GGA) of a relaxed structure of As2OsPt.

Formation enthalpy at 0 K, eV/atom: 0.153
Polymorph energy (0 for the lowest one), eV per atom: 0.0566

```
As2OsPt
1.0
8.131 -0.027 -0.016
7.570 2.967 -0.016
7.570 1.417 2.606
Pt Os As
1 1 2
Direct
0.750 0.750 0.750 Pt
0.250 0.250 0.250 Os
0.996 0.996 0.996 As
0.504 0.504 0.504 As
```

***

The following is a DFT calculation (PBE-GGA) of a relaxed structure of CdPb8Au2.

Formation enthalpy at 0 K, eV/atom: 0.054
Polymorph energy (0 for the lowest one), eV per atom: 0.0000

```
CdPb8Au2
1.0
-1.558 5.490 1.293
-7.629 -0.151 3.221
-0.263 0.757 8.244
Pb Cd Au
8 1 2
Direct
0.079 0.824 0.424 Pb
0.079 0.424 0.824 Pb
0.622 0.595 0.595 Pb
0.408 0.136 0.136 Pb
0.592 0.864 0.864 Pb
0.921 0.176 0.576 Pb
0.921 0.576 0.176 Pb
0.378 0.405 0.405 Pb
0.000 0.000 0.000 Cd
0.815 0.217 0.217 Au
0.185 0.783 0.783 Au
```

***

The following is a DFT calculation (PBE-GGA) of a relaxed structure of K4AuBr7.

Total energy, eV/atom: -2.80

```
K4AuBr7
1.0
-1.955 4.801 -1.981
-7.428 -1.718 -4.606
-8.546 2.041 5.603
Br Au K
7 1 4
Direct
0.243 0.501 0.012 Br
0.500 0.000 0.000 Br
0.654 0.247 0.446 Br
0.064 0.129 0.743 Br
0.757 0.499 0.988 Br
0.936 0.871 0.257 Br
0.346 0.753 0.554 Br
0.000 0.000 0.000 Au
0.551 0.633 0.265 K
0.722 0.865 0.692 K
0.278 0.135 0.308 K
0.449 0.367 0.735 K
```

***

The following is a DFT calculation (PBE-GGA) of a relaxed structure of CeTc2B.

Formation enthalpy at 0 K, eV/atom: -0.137
Polymorph energy (0 for the lowest one), eV per atom: 0.0000

```
CeTc2B
1.0
-1.233 -4.314 2.974
5.240 -2.732 -1.791
3.450 2.911 5.653
Tc B Ce
8 4 4
Direct
0.650 0.827 0.549 Tc
0.850 0.327 0.951 Tc
0.350 0.173 0.049 Tc
0.850 0.327 0.549 Tc
0.150 0.673 0.049 Tc
0.650 0.827 0.951 Tc
0.150 0.673 0.451 Tc
0.350 0.173 0.451 Tc
0.388 0.895 0.250 B
0.888 0.605 0.750 B
0.112 0.395 0.250 B
0.612 0.105 0.750 B
0.613 0.505 0.250 Ce
0.387 0.495 0.750 Ce
0.113 0.995 0.750 Ce
0.887 0.005 0.250 Ce
```

***

The following is a DFT calculation (PBE-GGA) of a relaxed structure of Zr2ScZn2.

Formation enthalpy at 0 K, eV/atom: -0.178
Polymorph energy (0 for the lowest one), eV per atom: 0.0650

```
Zr2ScZn2
1.0
-5.032 -5.171 -2.638
5.144 -2.354 -5.198
1.192 -2.292 2.218
Sc Zr Zn
2 4 4
Direct
0.000 0.000 0.000 Sc
0.500 0.500 0.000 Sc
0.829 0.329 0.500 Zr
0.171 0.671 0.500 Zr
0.671 0.829 0.500 Zr
0.329 0.171 0.500 Zr
0.874 0.626 0.000 Zn
0.126 0.374 0.000 Zn
0.374 0.874 0.000 Zn
0.626 0.126 0.000 Zn
```

***

The following is a DFT calculation (PBE-GGA) of a relaxed structure of Mn3Al3N5.

Total energy, eV/atom: -7.52

```
Mn3Al3N5
1.0
6.429 0.272 0.063
-0.893 5.385 -0.918
-1.510 -3.879 7.485
N Mn Al
10 6 6
Direct
0.094 0.351 0.757 N
0.859 0.124 0.190 N
0.652 0.218 0.523 N
0.348 0.782 0.477 N
0.906 0.649 0.243 N
0.799 0.673 0.392 N
0.201 0.327 0.608 N
0.714 0.882 0.767 N
0.286 0.118 0.233 N
0.141 0.876 0.810 N
0.669 0.708 0.038 Mn
0.381 0.751 0.694 Mn
0.858 0.572 0.744 Mn
0.619 0.249 0.306 Mn
0.331 0.292 0.962 Mn
0.142 0.428 0.256 Mn
0.461 0.222 0.670 Al
0.539 0.778 0.330 Al
0.278 0.778 0.987 Al
0.071 0.037 0.331 Al
0.929 0.963 0.669 Al
0.722 0.222 0.013 Al
```

***

The following is a DFT calculation (PBE-GGA) of a relaxed structure of PrIn2Pd.

Formation enthalpy at 0 K, eV/atom: -0.501

```
PrIn2Pd
1.0
3.466 0.000 0.000
0.000 3.466 0.000
0.000 0.000 7.727
Pd In Pr
1 2 1
Direct
0.500 0.500 0.000 Pd
0.000 0.000 0.801 In
0.000 0.000 0.199 In
0.500 0.500 0.500 Pr
```

***

The following is a DFT calculation (PBE-GGA) of a relaxed structure of CoRhAu2.

Formation enthalpy at 0 K, eV/atom: 0.238
Polymorph energy (0 for the lowest one), eV per atom: 0.1379

```
CoRhAu2
1.0
-4.318 0.163 2.197
-3.418 -1.622 -3.030
4.256 -1.872 1.370
Co Au Rh
1 2 1
Direct
0.750 0.250 0.500 Co
0.500 0.500 0.000 Au
0.000 0.000 0.000 Au
0.250 0.750 0.500 Rh
```

***

The following is a DFT calculation (PBE-GGA) of a relaxed structure of TlSi2Ag.

Polymorph energy (0 for the lowest one), eV per atom: 0.3101

```
TlSi2Ag
1.0
5.787 -0.029 0.000
3.045 4.921 0.000
-4.416 -2.446 2.829
Si Ag Tl
2 1 1
Direct
0.500 0.500 0.000 Si
0.000 0.000 0.000 Si
0.750 0.250 0.500 Ag
0.250 0.750 0.500 Tl
```

***

The following is a DFT calculation (PBE-GGA) of a relaxed structure of HoB4Mo.

Formation enthalpy at 0 K, eV/atom: -0.636

```
HoB4Mo
1.0
3.616 0.000 0.000
0.000 6.025 0.000
0.000 0.000 11.635
B Mo Ho
16 4 4
Direct
0.500 0.476 0.194 B
0.500 0.024 0.694 B
0.500 0.713 0.686 B
0.500 0.133 0.968 B
0.500 0.524 0.806 B
0.500 0.614 0.952 B
0.500 0.976 0.306 B
0.500 0.867 0.032 B
0.500 0.633 0.532 B
0.500 0.213 0.814 B
0.500 0.367 0.468 B
0.500 0.886 0.452 B
0.500 0.114 0.548 B
0.500 0.386 0.048 B
0.500 0.287 0.314 B
0.500 0.787 0.186 B
0.000 0.130 0.416 Mo
0.000 0.370 0.916 Mo
0.000 0.870 0.584 Mo
0.000 0.630 0.084 Mo
0.000 0.127 0.150 Ho
0.000 0.873 0.850 Ho
0.000 0.627 0.350 Ho
0.000 0.373 0.650 Ho
```